A relaxed AcLaAl2O6 crystal, computed with GGA-PBE.

abc: 7.2836 7.2836 5.8908
angles: 100.01 100.01 88.09
Sites, in units of the cell vectors:
Ac 0.1750 0.8250 0.2500
Ac 0.8250 0.1750 0.7500
La 0.5997 0.4003 0.2500
La 0.4003 0.5997 0.7500
Al 0.2997 0.1210 0.7669
Al 0.8790 0.7003 0.7331
Al 0.7003 0.8790 0.2331
Al 0.1210 0.2997 0.2669
O 0.8930 0.3603 0.1514
O 0.6397 0.1070 0.3486
O 0.1070 0.6397 0.8486
O 0.3603 0.8930 0.6514
O 0.1813 0.1320 0.0182
O 0.8680 0.8187 0.4818
O 0.8187 0.8680 0.9818
O 0.1320 0.1813 0.5182
O 0.2761 0.4909 0.3456
O 0.5091 0.7239 0.1544
O 0.7239 0.5091 0.6544
O 0.4909 0.2761 0.8456

The uncorrected formation energy is -3224 meV/atom. The density of states at the Fermi level is 0.0 states/eV/f.u. The space-group type is C2/c (15). The density is 5.653 g cm⁻³.